[1]
First-principles (GGA-PBEsol) data for an optimized crystal structure of BeSb2TeI, as listed in the Alexandria database.

abc: 5.137 5.137 4.769
angles: 90.00 90.00 90.00
Fractional coordinates of all 5 atoms:
Be (0.000, 0.000, 0.000)
Sb (0.000, 0.500, 0.000)
Sb (0.500, 0.000, 0.000)
Te (0.000, 0.000, 0.500)
I (0.500, 0.500, 0.500)

Summary:
- total magnetization (μB per formula unit) = 0.0

=====

[2]
First-principles (GGA-PBEsol) data for an optimized crystal structure of BeSbWI2, as listed in the Alexandria database.

abc: 5.437 5.437 5.209
angles: 90.00 90.00 90.00
Fractional coordinates of all 5 atoms:
Be (0.000, 0.000, 0.000)
Sb (0.500, 0.500, 0.000)
W (0.500, 0.500, 0.500)
I (0.000, 0.500, 0.500)
I (0.500, 0.000, 0.500)

Summary:
- total magnetization (μB per formula unit) = 0.3

=====

[3]
First-principles (GGA-PBEsol) data for an optimized crystal structure of YBeSb2I, as listed in the Alexandria database.

abc: 4.804 4.804 5.558
angles: 90.00 90.00 90.00
Fractional coordinates of all 5 atoms:
Y (0.000, 0.000, 0.000)
Be (0.500, 0.500, 0.500)
Sb (0.000, 0.500, 0.500)
Sb (0.500, 0.000, 0.500)
I (0.500, 0.500, 0.000)

Summary:
- total magnetization (μB per formula unit) = 0.0

=====

[4]
First-principles (GGA-PBEsol) data for an optimized crystal structure of BeZnSbI2, as listed in the Alexandria database.

abc: 5.204 5.204 4.521
angles: 90.00 90.00 90.00
Fractional coordinates of all 5 atoms:
Be (0.000, 0.000, 0.000)
Zn (0.000, 0.000, 0.500)
Sb (0.500, 0.500, 0.500)
I (0.000, 0.500, 0.000)
I (0.500, 0.000, 0.000)

Summary:
- total magnetization (μB per formula unit) = 0.0

=====

[5]
First-principles (GGA-PBEsol) data for an optimized crystal structure of BeSeI3, as listed in the Alexandria database.

abc: 5.109 5.109 5.109
angles: 90.00 90.00 90.00
Fractional coordinates of all 5 atoms:
Be (0.000, 0.000, 0.000)
Se (0.500, 0.500, 0.500)
I (0.000, 0.000, 0.500)
I (0.000, 0.500, 0.000)
I (0.500, 0.000, 0.000)

Summary:
- total magnetization (μB per formula unit) = 0.0

=====

[6]
First-principles (GGA-PBEsol) data for an optimized crystal structure of BeSi2I, as listed in the Alexandria database.

abc: 6.907 6.907 6.907
angles: 131.88 131.88 70.42
Fractional coordinates of all 8 atoms:
Be (0.000, 0.000, 0.000)
Be (0.750, 0.250, 0.500)
Si (0.001, 0.625, 0.876)
Si (0.375, 0.251, 0.376)
Si (0.749, 0.125, 0.124)
Si (0.875, 0.999, 0.624)
I (0.250, 0.750, 0.500)
I (0.500, 0.500, 0.000)

Summary:
- total magnetization (μB per formula unit) = 0.0

=====

[7]
First-principles (GGA-PBEsol) data for an optimized crystal structure of Be2SnI, as listed in the Alexandria database.

abc: 6.919 6.919 6.919
angles: 131.07 131.07 71.71
Fractional coordinates of all 8 atoms:
Be (0.112, 0.625, 0.987)
Be (0.375, 0.362, 0.487)
Be (0.638, 0.125, 0.013)
Be (0.875, 0.888, 0.513)
Sn (0.000, 0.000, 0.000)
Sn (0.750, 0.250, 0.500)
I (0.250, 0.750, 0.500)
I (0.500, 0.500, 0.000)

Summary:
- total magnetization (μB per formula unit) = 0.0

=====

[8]
First-principles (GGA-PBEsol) data for an optimized crystal structure of BeSnTeI2, as listed in the Alexandria database.

abc: 5.808 5.808 5.722
angles: 90.00 90.00 90.00
Fractional coordinates of all 5 atoms:
Be (0.000, 0.000, 0.000)
Sn (0.500, 0.500, 0.500)
Te (0.500, 0.500, 0.000)
I (0.000, 0.500, 0.500)
I (0.500, 0.000, 0.500)

Summary:
- total magnetization (μB per formula unit) = 0.0

=====

[9]
First-principles (GGA-PBEsol) data for an optimized crystal structure of Sr3BeI, as listed in the Alexandria database.

abc: 5.916 5.916 5.916
angles: 90.00 90.00 90.00
Fractional coordinates of all 5 atoms:
Sr (0.000, 0.000, 0.500)
Sr (0.000, 0.500, 0.000)
Sr (0.500, 0.000, 0.000)
Be (0.000, 0.000, 0.000)
I (0.500, 0.500, 0.500)

Summary:
- total magnetization (μB per formula unit) = 0.0
- ΔE to the lowest computed polymorph (meV per atom) = 0

=====

[10]
First-principles (GGA-PBEsol) data for an optimized crystal structure of Ta2BeTcI, as listed in the Alexandria database.

abc: 4.330 4.330 4.625
angles: 90.00 90.00 90.00
Fractional coordinates of all 5 atoms:
Ta (0.000, 0.500, 0.000)
Ta (0.500, 0.000, 0.000)
Be (0.000, 0.000, 0.000)
Tc (0.500, 0.500, 0.500)
I (0.000, 0.000, 0.500)

Summary:
- total magnetization (μB per formula unit) = 0.0

=====

[11]
First-principles (GGA-PBEsol) data for an optimized crystal structure of BeZn3I, as listed in the Alexandria database.

abc: 4.610 4.610 4.610
angles: 90.00 90.00 90.00
Fractional coordinates of all 5 atoms:
Be (0.000, 0.000, 0.000)
Zn (0.000, 0.000, 0.500)
Zn (0.000, 0.500, 0.000)
Zn (0.500, 0.000, 0.000)
I (0.500, 0.500, 0.500)

Summary:
- total magnetization (μB per formula unit) = 0.0

=====

[12]
First-principles (GGA-PBEsol) data for an optimized crystal structure of Zr2BeI, as listed in the Alexandria database.

abc: 7.357 7.357 7.357
angles: 133.16 133.16 68.41
Fractional coordinates of all 8 atoms:
Zr (0.046, 0.625, 0.921)
Zr (0.375, 0.296, 0.421)
Zr (0.704, 0.125, 0.079)
Zr (0.875, 0.954, 0.579)
Be (0.000, 0.000, 0.000)
Be (0.750, 0.250, 0.500)
I (0.250, 0.750, 0.500)
I (0.500, 0.500, 0.000)

Summary:
- total magnetization (μB per formula unit) = 0.0

=====

| no. | DOS(E_F) (states/eV per cell) | formation energy without anion corrections (meV per atom) |
| --- | --- | --- |
| 1 | 3.5 | 375 |
| 2 | 5.5 | 1218 |
| 3 | 1.8 | -7 |
| 4 | 2.6 | 432 |
| 5 | 5.2 | 357 |
| 6 | 3.8 | 612 |
| 7 | 5.2 | 432 |
| 8 | 3.4 | 699 |
| 9 | 4.8 | -76 |
| 10 | 5.0 | 1464 |
| 11 | 2.1 | 339 |
| 12 | 5.3 | 639 |